A relaxed MnCoOs2 crystal. Source: Alexandria via LeMat-Bulk, functional PBE-GGA.

Unit cell a=2.668 b=3.701 c=5.202 alpha=90.00 beta=90.00 gamma=90.00
Fractional positions:
Co1 0.000 0.000 0.505
Os1 0.000 0.000 0.996
Os2 0.500 0.500 0.260
Mn1 0.500 0.500 0.739

Summary:
The total energy comes out at -9.582 eV per atom. The density of states at the Fermi level comes out at 1.231 states/eV/atom. The value obtained for the formation energy is 0.1020 eV/atom. Its theoretical density is 15.98 g/cm3. The offset from the most stable computed form comes out at 0.038 eV/atom.